# MgTaSbI2 PBE-GGA optimized geometry
# - DOS at the Fermi energy (states/eV per atom) = 1.247
# - polymorph energy (0 for the lowest one) (eV/atom) = 0.652
# - E_form (uncorrected) (eV per atom) = 1.02
# - size of the total moment (μB per formula unit) = 2.3
data_MgTaSbI2
_space_group_name_H-M_alt 'P 4/m m m'
_space_group_IT_number 123
_space_group_name_Hall '-P 4 2'
_cell_length_a 5.398
_cell_length_b 5.398
_cell_length_c 5.610
_cell_angle_alpha 90.00
_cell_angle_beta 90.00
_cell_angle_gamma 90.00
loop_
_atom_site_label
_atom_site_type_symbol
_atom_site_fract_x
_atom_site_fract_y
_atom_site_fract_z
Mg1 Mg 0.000 0.000 0.000
Ta1 Ta 0.500 0.500 0.500
Sb1 Sb 0.000 0.000 0.500
I1 I 0.000 0.500 0.000

***

# ZrTeP2 PBE-GGA optimized geometry
# - DOS at the Fermi energy (states/eV per atom) = 0.268
# - polymorph energy (0 for the lowest one) (eV/atom) = 0.299
# - E_form (uncorrected) (eV per atom) = -0.29
# - size of the total moment (μB per formula unit) = 0.0
data_ZrTeP2
_space_group_name_H-M_alt 'I m m 2'
_space_group_IT_number 44
_cell_length_a 3.656
_cell_length_b 4.691
_cell_length_c 9.437
_cell_angle_alpha 90.00
_cell_angle_beta 90.00
_cell_angle_gamma 90.00
loop_
_space_group_symop_operation_xyz
'x,y,z'
'-x,-y,z'
'-x,y,z'
'x,-y,z'
'x+1/2,y+1/2,z+1/2'
'-x+1/2,-y+1/2,z+1/2'
'-x+1/2,y+1/2,z+1/2'
'x+1/2,-y+1/2,z+1/2'
loop_
_atom_site_label
_atom_site_type_symbol
_atom_site_fract_x
_atom_site_fract_y
_atom_site_fract_z
Zr1 Zr 0.000 0.000 0.000
Te1 Te 0.000 0.500 0.245
P1 P 0.000 0.000 0.511
P2 P 0.000 0.500 0.857

***

# ZrNb2Co PBE-GGA optimized geometry
# - DOS at the Fermi energy (states/eV per atom) = 1.212
# - polymorph energy (0 for the lowest one) (eV/atom) = 0.364
# - formation energy (eV per atom) = 0.28
# - size of the total moment (μB per formula unit) = 0.0
data_ZrNb2Co
_space_group_name_H-M_alt 'I -4 2 d'
_space_group_IT_number 122
_space_group_name_Hall 'I -4 2bw'
_cell_length_a 7.461
_cell_length_b 7.461
_cell_length_c 5.278
_cell_angle_alpha 90.00
_cell_angle_beta 90.00
_cell_angle_gamma 90.00
loop_
_atom_site_label
_atom_site_type_symbol
_atom_site_fract_x
_atom_site_fract_y
_atom_site_fract_z
Zr1 Zr 0.000 0.000 0.000
Nb1 Nb 0.203 0.250 0.625
Co1 Co 0.000 0.000 0.500

***

# Tb5HoAl4 PBE-GGA optimized geometry
# - DOS at the Fermi energy (states/eV per atom) = 0.736
# - formation energy (eV per atom) = -0.31
# - size of the total moment (μB per formula unit) = 0.0
data_Tb5HoAl4
_space_group_name_H-M_alt 'P 4/m m m'
_space_group_IT_number 123
_space_group_name_Hall '-P 4 2'
_cell_length_a 3.589
_cell_length_b 3.589
_cell_length_c 19.714
_cell_angle_alpha 90.00
_cell_angle_beta 90.00
_cell_angle_gamma 90.00
loop_
_atom_site_label
_atom_site_type_symbol
_atom_site_fract_x
_atom_site_fract_y
_atom_site_fract_z
Tb1 Tb 0.000 0.000 0.000
Tb2 Tb 0.000 0.000 0.186
Tb3 Tb 0.000 0.000 0.373
Ho1 Ho 0.500 0.500 0.500
Al1 Al 0.500 0.500 0.093
Al2 Al 0.500 0.500 0.280

***

# RbNb4Cl11 PBE-GGA optimized geometry
# - E_form (uncorrected) (eV per atom) = -1.36
# - size of the total moment (μB per formula unit) = 0.0
data_RbNb4Cl11
_space_group_name_H-M_alt 'P m m a'
_space_group_IT_number 51
_cell_length_a 16.320
_cell_length_b 7.026
_cell_length_c 7.060
_cell_angle_alpha 90.00
_cell_angle_beta 90.00
_cell_angle_gamma 90.00
loop_
_space_group_symop_operation_xyz
'x,y,z'
'-x,-y,-z'
'-x+1/2,-y,z'
'x+1/2,y,-z'
'x+1/2,-y,-z'
'-x+1/2,y,z'
'-x,y,-z'
'x,-y,z'
loop_
_atom_site_label
_atom_site_type_symbol
_atom_site_fract_x
_atom_site_fract_y
_atom_site_fract_z
Rb1 Rb 0.250 0.000 0.024
Nb1 Nb 0.000 0.286 0.500
Nb2 Nb 0.142 0.500 0.615
Cl1 Cl 0.079 0.249 0.804
Cl2 Cl 0.082 0.000 0.365
Cl3 Cl 0.084 0.500 0.293
Cl4 Cl 0.250 0.269 0.480
Cl5 Cl 0.250 0.500 0.890

***

# AlCuReO2 PBE-GGA optimized geometry
# - DOS at the Fermi energy (states/eV per atom) = 0.340
# - E_form (uncorrected) (eV per atom) = -0.53
# - size of the total moment (μB per formula unit) = 0.0
data_AlCuReO2
_space_group_name_H-M_alt 'P 4/m m m'
_space_group_IT_number 123
_space_group_name_Hall '-P 4 2'
_cell_length_a 3.735
_cell_length_b 3.735
_cell_length_c 5.626
_cell_angle_alpha 90.00
_cell_angle_beta 90.00
_cell_angle_gamma 90.00
loop_
_atom_site_label
_atom_site_type_symbol
_atom_site_fract_x
_atom_site_fract_y
_atom_site_fract_z
Al1 Al 0.000 0.000 0.000
Cu1 Cu 0.500 0.500 0.000
Re1 Re 0.000 0.000 0.500
O1 O 0.000 0.500 0.500

***

# BaH4Br PBE-GGA optimized geometry
# - DOS at the Fermi energy (states/eV per atom) = 0.270
# - size of the total moment (μB per formula unit) = 0.0
# - E_tot (eV per cell) = -32.36
data_BaH4Br
_space_group_name_H-M_alt 'C 1 2/m 1'
_space_group_IT_number 12
_cell_length_a 3.220
_cell_length_b 9.243
_cell_length_c 5.783
_cell_angle_alpha 90.00
_cell_angle_beta 90.11
_cell_angle_gamma 90.00
loop_
_space_group_symop_operation_xyz
'x,y,z'
'-x,-y,-z'
'-x,y,-z'
'x,-y,z'
'x+1/2,y+1/2,z'
'-x+1/2,-y+1/2,-z'
'-x+1/2,y+1/2,-z'
'x+1/2,-y+1/2,z'
loop_
_atom_site_label
_atom_site_type_symbol
_atom_site_fract_x
_atom_site_fract_y
_atom_site_fract_z
Ba1 Ba 0.000 0.000 0.000
H1 H 0.002 0.261 0.160
Br1 Br 0.000 0.500 0.500

***

# BaRhCl2 PBE-GGA optimized geometry
# - polymorph energy (0 for the lowest one) (eV/atom) = 0.085
# - E_form (uncorrected) (eV per atom) = -1.00
# - size of the total moment (μB per formula unit) = 1.0
data_BaRhCl2
_space_group_name_H-M_alt 'C m m m'
_space_group_IT_number 65
_space_group_name_Hall '-C 2 2'
_cell_length_a 6.506
_cell_length_b 7.674
_cell_length_c 4.136
_cell_angle_alpha 90.00
_cell_angle_beta 90.00
_cell_angle_gamma 90.00
loop_
_atom_site_label
_atom_site_type_symbol
_atom_site_fract_x
_atom_site_fract_y
_atom_site_fract_z
Ba1 Ba 0.000 0.000 0.000
Rh1 Rh 0.000 0.500 0.000
Cl1 Cl 0.000 0.300 0.500

***

# MgH8Pt2 PBE-GGA optimized geometry
# - DOS at the Fermi energy (states/eV per atom) = 0.096
# - size of the total moment (μB per formula unit) = 0.0
# - E_tot (eV per cell) = -82.31
data_MgH8Pt2
_space_group_name_H-M_alt 'C 1 2/m 1'
_space_group_IT_number 12
_cell_length_a 11.880
_cell_length_b 5.299
_cell_length_c 3.527
_cell_angle_alpha 90.00
_cell_angle_beta 103.97
_cell_angle_gamma 90.00
loop_
_space_group_symop_operation_xyz
'x,y,z'
'-x,-y,-z'
'-x,y,-z'
'x,-y,z'
'x+1/2,y+1/2,z'
'-x+1/2,-y+1/2,-z'
'-x+1/2,y+1/2,-z'
'x+1/2,-y+1/2,z'
loop_
_atom_site_label
_atom_site_type_symbol
_atom_site_fract_x
_atom_site_fract_y
_atom_site_fract_z
Mg1 Mg 0.000 0.000 0.000
H1 H 0.032 0.500 0.506
H2 H 0.155 0.299 0.404
H3 H 0.193 0.000 0.949
Pt1 Pt 0.203 0.000 0.460

***

# BaPtPb2 PBE-GGA optimized geometry
# - DOS at the Fermi energy (states/eV per atom) = 0.639
# - formation energy (eV per atom) = -0.41
# - size of the total moment (μB per formula unit) = 0.0
data_BaPtPb2
_space_group_name_H-M_alt 'P 1 m 1'
_space_group_IT_number 6
_cell_length_a 5.253
_cell_length_b 3.861
_cell_length_c 6.625
_cell_angle_alpha 90.00
_cell_angle_beta 113.32
_cell_angle_gamma 90.00
loop_
_space_group_symop_operation_xyz
'x,y,z'
'x,-y,z'
loop_
_atom_site_label
_atom_site_type_symbol
_atom_site_fract_x
_atom_site_fract_y
_atom_site_fract_z
Ba1 Ba 0.000 0.000 0.000
Pt1 Pt 0.529 0.500 0.059
Pb1 Pb 0.295 0.500 0.593
Pb2 Pb 0.705 0.000 0.411

***

# Ce2Si9Ru3 PBE-GGA optimized geometry
# - DOS at the Fermi energy (states/eV per atom) = 0.877
# - E_form (uncorrected) (eV per atom) = -0.52
# - size of the total moment (μB per formula unit) = 0.0
data_Ce2Si9Ru3
_space_group_name_H-M_alt 'C 1 2/c 1'
_space_group_IT_number 15
_cell_length_a 12.611
_cell_length_b 7.489
_cell_length_c 10.247
_cell_angle_alpha 90.00
_cell_angle_beta 114.23
_cell_angle_gamma 90.00
loop_
_space_group_symop_operation_xyz
'x,y,z'
'-x,-y,-z'
'-x,y,-z+1/2'
'x,-y,z+1/2'
'x+1/2,y+1/2,z'
'-x+1/2,-y+1/2,-z'
'-x+1/2,y+1/2,-z+1/2'
'x+1/2,-y+1/2,z+1/2'
loop_
_atom_site_label
_atom_site_type_symbol
_atom_site_fract_x
_atom_site_fract_y
_atom_site_fract_z
Ce1 Ce 0.166 0.080 0.251
Si1 Si 0.000 0.375 0.250
Si2 Si 0.061 0.080 0.936
Si3 Si 0.097 0.315 0.752
Si4 Si 0.104 0.415 0.064
Si5 Si 0.227 0.418 0.434
Ru1 Ru 0.083 0.263 0.505
Ru2 Ru 0.250 0.250 0.000